No. 1
Computed, not measured: an optimized crystal structure of Pr3Nd4Sm at the GGA-PBE level of DFT.

The total magnetic moment comes out at 0.00 Bohr magnetons per cell. The energy above the most stable polymorph in this dataset comes out at 21 meV/atom. The value obtained for the volume is 572 Å³/cell. Its space group is Pmn2_1, No. 31. The value obtained for the density of states at the Fermi level is 1.764 states/eV per atom.

POSCAR file:
```
Pr3Nd4Sm
1.0
6.4258 0.0000 0.0000
0.0000 7.4334 0.0000
0.0000 0.0000 11.9743
Pr Nd Sm
6 8 2
Direct
0.4804 0.6251 0.0000
0.1478 0.6254 0.2500
0.6478 0.3746 0.2500
0.9804 0.3749 0.5000
0.6478 0.3746 0.7500
0.1478 0.6254 0.7500
0.9801 0.8757 0.0000
0.4808 0.1244 0.0000
0.1485 0.1248 0.2491
0.6485 0.8752 0.2509
0.9808 0.8756 0.5000
0.4801 0.1243 0.5000
0.6485 0.8752 0.7491
0.1485 0.1248 0.7509
0.9812 0.3742 0.0000
0.4812 0.6258 0.5000
```

No. 2
Computed, not measured: an optimized crystal structure of Pr6Nd4Sm at the GGA-PBE level of DFT.

The total magnetic moment comes out at 0.00 Bohr magnetons per cell. The value obtained for the volume is 403 Å³/cell. Its space group is I-42m, No. 121. The final energy is -4.498 eV per atom. The value obtained for the density of states at the Fermi level is 1.700 states/eV per atom.

POSCAR file:
```
Pr6Nd4Sm
1.0
7.6798 -3.1250 -5.7230
-5.3405 8.2848 2.0826
-2.0144 3.1250 9.3634
Pr Nd Sm
6 4 1
Direct
0.0000 0.8081 0.4506
0.0000 0.4506 0.8081
0.3575 0.5494 0.5494
0.5000 0.5000 0.0000
0.6425 0.1919 0.1919
0.5000 0.0000 0.5000
0.0000 0.6321 0.0104
0.3783 0.3679 0.3679
0.0000 0.0104 0.6321
0.6217 0.9896 0.9896
0.0000 0.0000 0.0000
```

No. 3
Computed, not measured: an optimized crystal structure of Pr3NdSm at the GGA-PBE level of DFT.

The total magnetic moment comes out at 0.00 Bohr magnetons per cell. The energy above the most stable polymorph in this dataset comes out at 0 meV/atom. The value obtained for the volume is 359 Å³/cell. Its space group is Pmmn, No. 59. The value obtained for the density of states at the Fermi level is 1.690 states/eV per atom.

POSCAR file:
```
Pr3NdSm
1.0
-4.9520 0.1067 2.4888
1.9811 -5.8272 4.1917
3.1536 5.4187 6.0425
Pr Nd Sm
6 2 2
Direct
0.7500 0.7500 0.0513
0.2500 0.2500 0.9487
0.7500 0.0385 0.7436
0.7500 0.4615 0.7436
0.2500 0.9615 0.2564
0.2500 0.5385 0.2564
0.7500 0.2500 0.2694
0.2500 0.7500 0.7306
0.7500 0.7500 0.4378
0.2500 0.2500 0.5622
```

No. 4
Computed, not measured: an optimized crystal structure of PrNd5Sm6 at the GGA-PBE level of DFT.

The total magnetic moment comes out at 0.00 Bohr magnetons per cell. The value obtained for the volume is 415 Å³/cell. Its space group is C2/m, No. 12. The final energy is -4.732 eV per atom. The value obtained for the density of states at the Fermi level is 1.456 states/eV per atom.

POSCAR file:
```
PrNd5Sm6
1.0
-8.0806 -7.2498 -5.3581
-2.0054 -3.3279 5.0140
-4.9401 2.0612 3.4047
Pr Nd Sm
1 5 6
Direct
0.0000 0.0000 0.0000
0.5000 0.1666 0.6668
0.0000 0.3332 0.3335
0.5000 0.5000 0.0000
0.0000 0.6668 0.6665
0.5000 0.8334 0.3332
0.7497 0.0834 0.3336
0.2503 0.5830 0.3336
0.2501 0.2502 0.0000
0.7499 0.7498 0.0000
0.7497 0.4170 0.6664
0.2503 0.9166 0.6664
```

No. 5
Computed, not measured: an optimized crystal structure of PrNd8Sm5 at the GGA-PBE level of DFT.

The total magnetic moment comes out at 0.00 Bohr magnetons per cell. The value obtained for the volume is 497 Å³/cell. Its space group is I-4, No. 82. The final energy is -4.527 eV per atom. The value obtained for the density of states at the Fermi level is 1.477 states/eV per atom.

POSCAR file:
```
PrNd8Sm5
1.0
8.6519 -0.1237 0.2127
-3.0439 8.0997 -0.2127
-2.5641 -4.1567 7.1459
Pr Nd Sm
1 8 5
Direct
0.2500 0.5000 0.7500
0.1712 0.7358 0.0732
0.9268 0.0980 0.6626
0.7217 0.2530 0.3263
0.6737 0.3955 0.9268
0.5313 0.6045 0.2783
0.5647 0.9020 0.8288
0.3374 0.2642 0.4353
0.0732 0.7470 0.4687
0.0351 0.3152 0.1347
0.8653 0.9004 0.1805
0.8195 0.6848 0.7199
0.5000 0.0000 0.5000
0.2801 0.0996 0.9649
```

No. 6
Computed, not measured: an optimized crystal structure of Pr4Nd3Sm2 at the GGA-PBE level of DFT.

The total magnetic moment comes out at 0.00 Bohr magnetons per cell. The energy above the most stable polymorph in this dataset comes out at 30 meV/atom. The value obtained for the volume is 318 Å³/cell. Its space group is C2/m, No. 12. The value obtained for the density of states at the Fermi level is 1.547 states/eV per atom.

POSCAR file:
```
Pr4Nd3Sm2
1.0
-0.9445 4.0954 4.2034
-2.0136 4.5516 -9.0900
-2.0886 -9.6848 8.9666
Pr Nd Sm
4 3 2
Direct
0.2790 0.5579 0.5990
0.7210 0.4421 0.4010
0.1406 0.2812 0.9112
0.8594 0.7188 0.0888
0.4302 0.8603 0.5432
0.0000 0.0000 0.0000
0.5698 0.1397 0.4568
0.2617 0.5234 0.8255
0.7383 0.4766 0.1745
```

No. 7
Computed, not measured: an optimized crystal structure of Pr4Nd3Sm4 at the GGA-PBE level of DFT.

The total magnetic moment comes out at 0.00 Bohr magnetons per cell. The energy above the most stable polymorph in this dataset comes out at 19 meV/atom. The value obtained for the volume is 392 Å³/cell. Its space group is Amm2, No. 38. The value obtained for the density of states at the Fermi level is 1.747 states/eV per atom.

POSCAR file:
```
Pr4Nd3Sm4
1.0
-3.3143 -3.5490 3.2625
6.3905 0.8021 2.1194
-3.1060 8.5393 6.1339
Pr Nd Sm
4 3 4
Direct
0.7529 0.5057 0.7898
0.7529 0.5057 0.2102
0.8859 0.7719 0.5000
0.9589 0.9178 0.0000
0.4093 0.8187 0.2930
0.4093 0.8187 0.7070
0.2539 0.5078 0.0000
0.6119 0.2239 0.5000
0.5528 0.1057 0.0000
0.1053 0.2106 0.6976
0.1053 0.2106 0.3024
```

No. 8
Computed, not measured: an optimized crystal structure of Pr4Nd3Sm4 at the GGA-PBE level of DFT.

The total magnetic moment comes out at 0.00 Bohr magnetons per cell. The energy above the most stable polymorph in this dataset comes out at 0 meV/atom. The value obtained for the volume is 396 Å³/cell. Its space group is C2/m, No. 12. The value obtained for the density of states at the Fermi level is 1.492 states/eV per atom.

POSCAR file:
```
Pr4Nd3Sm4
1.0
3.5934 -0.0001 -0.6621
-0.8700 8.3909 -4.7233
0.4058 1.3794 12.2706
Pr Nd Sm
4 3 4
Direct
0.6446 0.4687 0.2910
0.3554 0.1778 0.7090
0.3554 0.5313 0.7090
0.6446 0.8222 0.2910
0.8924 0.8922 0.7843
0.1076 0.1078 0.2157
0.0000 0.5000 0.0000
0.7410 0.2398 0.4796
0.2590 0.7602 0.5204
0.5000 0.8157 0.0000
0.5000 0.1843 0.0000
```

Question: volume of number 2 (Pr6Nd4Sm)?
Answer: 403 Å³/cell

Repeat the third record exactly.
Computed, not measured: an optimized crystal structure of Pr3NdSm at the GGA-PBE level of DFT.

The total magnetic moment comes out at 0.00 Bohr magnetons per cell. The energy above the most stable polymorph in this dataset comes out at 0 meV/atom. The value obtained for the volume is 359 Å³/cell. Its space group is Pmmn, No. 59. The value obtained for the density of states at the Fermi level is 1.690 states/eV per atom.

POSCAR file:
```
Pr3NdSm
1.0
-4.9520 0.1067 2.4888
1.9811 -5.8272 4.1917
3.1536 5.4187 6.0425
Pr Nd Sm
6 2 2
Direct
0.7500 0.7500 0.0513
0.2500 0.2500 0.9487
0.7500 0.0385 0.7436
0.7500 0.4615 0.7436
0.2500 0.9615 0.2564
0.2500 0.5385 0.2564
0.7500 0.2500 0.2694
0.2500 0.7500 0.7306
0.7500 0.7500 0.4378
0.2500 0.2500 0.5622
```

Copy entry 3 word for word.
Computed, not measured: an optimized crystal structure of Pr3NdSm at the GGA-PBE level of DFT.

The total magnetic moment comes out at 0.00 Bohr magnetons per cell. The energy above the most stable polymorph in this dataset comes out at 0 meV/atom. The value obtained for the volume is 359 Å³/cell. Its space group is Pmmn, No. 59. The value obtained for the density of states at the Fermi level is 1.690 states/eV per atom.

POSCAR file:
```
Pr3NdSm
1.0
-4.9520 0.1067 2.4888
1.9811 -5.8272 4.1917
3.1536 5.4187 6.0425
Pr Nd Sm
6 2 2
Direct
0.7500 0.7500 0.0513
0.2500 0.2500 0.9487
0.7500 0.0385 0.7436
0.7500 0.4615 0.7436
0.2500 0.9615 0.2564
0.2500 0.5385 0.2564
0.7500 0.2500 0.2694
0.2500 0.7500 0.7306
0.7500 0.7500 0.4378
0.2500 0.2500 0.5622
```

Question: total magnetic moment of number 6 (Pr4Nd3Sm2)?
Answer: 0.00 Bohr magnetons per cell